Cu2TcRu PBE relaxed; space group = Cmm2; polymorph energy (0 for the lowest one) = 159 meV/atom; DOS at the Fermi energy = 3.855 states/eV/f.u.; energy relative to the elements = 28 kJ/mol of atoms; density = 9.9 g/cm³; final energy = -6.672 eV/atom
1.0
1.404 -2.213 0.000
1.404 2.213 0.000
0.000 0.000 8.776
Cu Tc Ru
2 1 1
direct
0.000 0.000 0.000 Cu
0.500 0.500 0.235 Cu
0.000 0.000 0.493 Tc
0.500 0.500 0.743 Ru